Density functional theory data (GGA+U) for an optimized crystal structure of V2BO.

Properties
Offset from the most stable computed form = 1.47 eV/f.u.
Energy = -6.237 eV per atom

Cell: 3.7906 3.7906 3.7906 Å, 60.00 60.00 60.00°
Last column: nearest neighbours and their distance in Å.
Positions (direct):
V (0.2500, 0.2500, 0.2500)  4 O 2.32, 4 B 2.32
V (0.7500, 0.7500, 0.7500)  4 O 2.32, 4 B 2.32
B (0.0000, 0.0000, 0.0000)  8 V 2.32
O (0.5000, 0.5000, 0.5000)  8 V 2.32